This record from the Alexandria database describes a relaxed BaSr2S2 crystal. The functional is PBE-GGA.

Unit cell a=8.3786 b=8.3786 c=4.2835 alpha=90.00 beta=90.00 gamma=90.00
With the nearest neighbours (Å) after each atom.
Sites, in units of the cell vectors:
S 0.6524 0.1524 0.0000  6 Sr 3.12-3.36, 2 Ba 3.18
S 0.1524 0.3476 0.0000  6 Sr 3.12-3.36, 2 Ba 3.18
Sr 0.1561 0.6561 0.5000  6 S 3.12-3.36
S 0.3476 0.8476 0.0000  6 Sr 3.12-3.36, 2 Ba 3.18
Sr 0.3439 0.1561 0.5000  6 S 3.12-3.36
Sr 0.8439 0.3439 0.5000  6 S 3.12-3.36
Sr 0.6561 0.8439 0.5000  6 S 3.12-3.36
S 0.8476 0.6524 0.0000  6 Sr 3.12-3.36, 2 Ba 3.18
Ba 0.5000 0.5000 0.0000  4 S 3.18
Ba 0.0000 0.0000 0.0000  4 S 3.18

Calculated values
* ΔE_f (raw): -680 kJ/mol of formula units
* crystal system: tetragonal
* total energy: -4.12 eV per atom